{
  "formula": "ErTmZn2",
  "functional": "PBEsol",
  "state": "optimized geometry",
  "formation_energy_mev_per_atom": -352.0,
  "spacegroup": "Fm-3m (225)",
  "lattice_angstrom": [[-3.9441, 2.4738, -1.5361], [-1.8943, -0.9122, -4.4288], [-4.3226, -2.2791, -0.3952]],
  "species": ["Zn", "Zn", "Tm", "Er"],
  "fractional_positions": [[0.2500, 0.2500, 0.2500], [0.7500, 0.7500, 0.7500], [0.0000, 0.0000, 0.0000], [0.5000, 0.5000, 0.5000]]
}

{
  "formula": "Na2AlFeSi4O12",
  "functional": "PBEsol",
  "state": "optimized geometry",
  "spacegroup": "C2 (5)",
  "lattice_angstrom": [[5.2403, -0.0053, -0.0050], [1.4468, 6.2192, 0.0112], [1.4468, 0.3019, 6.2119]],
  "species": ["Na", "Na", "Al", "Fe", "Si", "Si", "Si", "Si", "O", "O", "O", "O", "O", "O", "O", "O", "O", "O", "O", "O"],
  "fractional_positions": [[0.5000, 0.2995, 0.7005], [0.0000, 0.6999, 0.3001], [0.5000, 0.9084, 0.0916], [0.0000, 0.0877, 0.9123], [0.5257, 0.3852, 0.1954], [0.4743, 0.8046, 0.6148], [0.9761, 0.6145, 0.8018], [0.0239, 0.1982, 0.3855], [0.6187, 0.1853, 0.0311], [0.3813, 0.9689, 0.8147], [0.8778, 0.8123, 0.9695], [0.1222, 0.0305, 0.1877], [0.4579, 0.6266, 0.0950], [0.5421, 0.9050, 0.3734], [0.0521, 0.3734, 0.9037], [0.9479, 0.0963, 0.6266], [0.7471, 0.3641, 0.3449], [0.2529, 0.6551, 0.6359], [0.7531, 0.6376, 0.6531], [0.2469, 0.3469, 0.3624]]
}

{
  "formula": "BaHRh2",
  "functional": "PBEsol",
  "state": "optimized geometry",
  "spacegroup": "Fd-3m (227)",
  "lattice_angstrom": [[5.6868, 0.0000, 0.0000], [2.8434, 4.9250, 0.0000], [2.8434, 1.6417, 4.6433]],
  "species": ["H", "H", "Rh", "Rh", "Rh", "Rh", "Ba", "Ba"],
  "fractional_positions": [[0.2500, 0.2500, 0.2500], [0.0000, 0.0000, 0.0000], [0.1250, 0.1250, 0.6250], [0.1250, 0.1250, 0.1250], [0.6250, 0.1250, 0.1250], [0.1250, 0.6250, 0.1250], [0.7500, 0.7500, 0.7500], [0.5000, 0.5000, 0.5000]]
}

{
  "formula": "ZrTlSe2",
  "functional": "PBEsol",
  "state": "optimized geometry",
  "spacegroup": "P-3m1 (164)",
  "lattice_angstrom": [[3.6999, 0.0000, 0.0000], [-1.8499, 3.2042, 0.0000], [0.0000, 0.0000, 8.2715]],
  "species": ["Tl", "Zr", "Se", "Se"],
  "fractional_positions": [[0.0000, 0.0000, 0.0000], [0.0000, 0.0000, 0.5000], [0.6667, 0.3333, 0.6988], [0.3333, 0.6667, 0.3012]]
}

{
  "formula": "K2LiSbF6",
  "functional": "PBEsol",
  "state": "optimized geometry",
  "spacegroup": "Fm-3m (225)",
  "lattice_angstrom": [[5.9565, 0.0000, 0.0000], [2.9783, 5.1585, 0.0000], [2.9783, 1.7195, 4.8635]],
  "species": ["Sb", "K", "K", "Li", "F", "F", "F", "F", "F", "F"],
  "fractional_positions": [[0.0000, 0.0000, 0.0000], [0.7500, 0.7500, 0.7500], [0.2500, 0.2500, 0.2500], [0.5000, 0.5000, 0.5000], [0.7417, 0.2583, 0.2583], [0.7417, 0.7417, 0.2583], [0.2583, 0.7417, 0.7417], [0.7417, 0.2583, 0.7417], [0.2583, 0.7417, 0.2583], [0.2583, 0.2583, 0.7417]]
}

{
  "formula": "Pr2TlAg",
  "functional": "PBEsol",
  "state": "optimized geometry",
  "formation_energy_mev_per_atom": -331.5,
  "spacegroup": "Fm-3m (225)",
  "lattice_angstrom": [[-2.3206, 3.6862, 3.1313], [-5.3488, 0.2811, 0.3005], [-2.5165, -1.4986, 4.4945]],
  "species": ["Pr", "Pr", "Tl", "Ag"],
  "fractional_positions": [[0.2500, 0.2500, 0.2500], [0.7500, 0.7500, 0.7500], [0.0000, 0.0000, 0.0000], [0.5000, 0.5000, 0.5000]]
}

| no. | calculated total energy (Ry/atom) |
| --- | --- |
| 1 | -0.2646 |
| 2 | -0.5578 |
| 3 | -0.4140 |
| 4 | -0.4346 |
| 5 | -0.3445 |
| 6 | -0.3241 |